*P*
CaAg2I: optimized geometry, PBE.

Unit cell a=5.2976 b=5.2976 c=5.2976 alpha=60.00 beta=60.00 gamma=60.00
Sites, in units of the cell vectors:
I: 0.5000 0.5000 0.5000
Ag: 0.7500 0.7500 0.7500
Ag: 0.2500 0.2500 0.2500
Ca: 0.0000 0.0000 0.0000

Computed properties:
D(E_F) = 2.2 states/eV/cell
Magnetization = 0.00 μB per formula unit

*Q*
CaAg2I: optimized geometry, PBE.

Unit cell a=8.8913 b=8.8913 c=6.9406 alpha=50.17 beta=50.17 gamma=90.00
Sites, in units of the cell vectors:
I: 0.7500 0.2500 0.5000
I: 0.0000 0.0000 0.0000
Ca: 0.2500 0.7500 0.5000
Ca: 0.5000 0.5000 0.0000
Ag: 0.8750 0.8860 0.7500
Ag: 0.1140 0.6250 0.2500
Ag: 0.3750 0.3640 0.7500
Ag: 0.6360 0.1250 0.2500

Computed properties:
D(E_F) = 4.6 states/eV/cell
Magnetization = 0.00 μB per formula unit

*Q* comes first in stability; the runner-up is 172 meV per atom higher.

*P*
CaAgIN2: optimized geometry, PBE.

Unit cell a=4.3498 b=4.3498 c=6.4342 alpha=90.00 beta=90.00 gamma=90.00
Last column: magnetic moment on the atom in μB.
Sites, in units of the cell vectors:
Ca: 0.0000 0.0000 0.0000  0.06
N: 0.0000 0.5000 0.0000  1.28
N: 0.5000 0.0000 0.0000  1.28
I: 0.0000 0.0000 0.5000  0.05
Ag: 0.5000 0.5000 0.5000  0.00

Computed properties:
D(E_F) = 1.9 states/eV/cell
Magnetization = 4.02 μB per formula unit

*Q*
CaAgIN2: optimized geometry, PBE.

Unit cell a=4.3443 b=4.3443 c=5.8519 alpha=90.00 beta=90.00 gamma=90.00
Last column: magnetic moment on the atom in μB.
Sites, in units of the cell vectors:
Ag: 0.0000 0.0000 0.0000  0.14
N: 0.5000 0.0000 0.0000  0.91
N: 0.0000 0.5000 0.0000  0.91
I: 0.0000 0.0000 0.5000  0.05
Ca: 0.5000 0.5000 0.5000  -0.03

Computed properties:
D(E_F) = 2.0 states/eV/cell
Magnetization = 2.74 μB per formula unit

*Q* comes first in stability; the runner-up is 85 meV per atom higher.

*P*
Ca2In3Ag4: optimized geometry, PBE.

Unit cell a=5.0025 b=5.0063 c=9.3775 alpha=89.85 beta=90.00 gamma=60.02
Sites, in units of the cell vectors:
Ca: 0.3326 0.3349 0.7771
Ca: 0.6674 0.6651 0.2229
In: 0.6657 0.6687 0.5834
In: 0.0000 0.0000 0.0000
In: 0.3343 0.3313 0.4166
Ag: 0.6662 0.6676 0.9025
Ag: 0.3338 0.3324 0.0975
Ag: 0.0013 0.9974 0.3463
Ag: 0.9987 0.0026 0.6537

Computed properties:
D(E_F) = 4.0 states/eV/cell
Magnetization = 0.00 μB per formula unit

*Q*
Ca2In3Ag4: optimized geometry, PBE.

Unit cell a=6.1480 b=7.9030 c=9.2492 alpha=90.00 beta=109.41 gamma=90.00
Sites, in units of the cell vectors:
Ag: 0.3363 0.4855 0.6726
Ag: 0.8237 0.2500 0.1475
Ag: 0.6637 0.5145 0.3274
Ag: 0.1637 0.9855 0.3274
Ag: 0.8363 0.0145 0.6726
Ag: 0.1763 0.7500 0.8525
Ag: 0.3237 0.2500 0.1475
Ag: 0.6763 0.7500 0.8525
In: 0.5000 0.5000 0.0000
In: 0.9912 0.2500 0.4824
In: 0.5088 0.7500 0.5176
In: 0.0000 0.0000 0.0000
In: 0.4912 0.2500 0.4824
In: 0.0088 0.7500 0.5176
Ca: 0.0979 0.6028 0.1958
Ca: 0.4021 0.1028 0.8042
Ca: 0.9021 0.3972 0.8042
Ca: 0.5979 0.8972 0.1958

Computed properties:
D(E_F) = 6.1 states/eV/cell
Magnetization = 0.00 μB per formula unit

*Q* comes first in stability; the runner-up is 16 meV per atom higher.

*P*
Ca8In2Ag: optimized geometry, PBE.

Unit cell a=5.3929 b=9.0767 c=9.0834 alpha=119.98 beta=107.27 gamma=90.00
Sites, in units of the cell vectors:
Ca: 0.3430 0.1272 0.6860
Ca: 0.1335 0.1335 0.2670
Ca: 0.0000 0.3216 0.0000
Ca: 0.6570 0.8728 0.3140
Ca: 0.0000 0.6784 0.0000
Ca: 0.8665 0.8665 0.7330
Ca: 0.6570 0.4411 0.3140
Ca: 0.3430 0.5589 0.6860
In: 0.8026 0.3026 0.6052
In: 0.1974 0.6974 0.3948
Ag: 0.5000 0.0000 0.0000

Computed properties:
D(E_F) = 6.8 states/eV/cell
Magnetization = 0.00 μB per formula unit

*Q*
Ca8In2Ag: optimized geometry, PBE.

Unit cell a=5.4559 b=7.4628 c=9.8517 alpha=108.23 beta=106.08 gamma=90.00
Sites, in units of the cell vectors:
Ca: 0.7972 0.7065 0.5944
Ca: 0.9764 0.2167 0.9529
Ca: 0.6602 0.9543 0.3204
Ca: 0.2028 0.2935 0.4056
Ca: 0.4022 0.5573 0.8043
Ca: 0.3398 0.0457 0.6796
Ca: 0.0236 0.7833 0.0471
Ca: 0.5978 0.4427 0.1957
In: 0.1810 0.7031 0.3619
In: 0.8190 0.2969 0.6381
Ag: 0.5000 0.0000 0.0000

Computed properties:
D(E_F) = 9.5 states/eV/cell
Magnetization = 0.00 μB per formula unit

*Q* comes first in stability; the runner-up is 56 meV per atom higher.

*P*
CaIn2Ag6: optimized geometry, PBE.

Unit cell a=3.6871 b=7.5956 c=8.2714 alpha=117.33 beta=102.88 gamma=90.00
Sites, in units of the cell vectors:
Ag: 0.3204 0.5050 0.6409
Ag: 0.6796 0.8641 0.3591
Ag: 0.3204 0.1359 0.6409
Ag: 0.5000 0.1791 0.0000
Ag: 0.6796 0.4950 0.3591
Ag: 0.5000 0.8209 0.0000
In: 0.1394 0.1394 0.2787
In: 0.8606 0.8606 0.7213
Ca: 0.0000 0.5000 0.0000

Computed properties:
D(E_F) = 2.9 states/eV/cell
Magnetization = 0.00 μB per formula unit

*Q*
CaIn2Ag6: optimized geometry, PBE.

Unit cell a=6.7258 b=6.7258 c=6.7258 alpha=60.00 beta=60.00 gamma=60.00
Sites, in units of the cell vectors:
Ag: 0.2921 0.2921 0.7079
Ag: 0.7079 0.2921 0.7079
Ag: 0.2921 0.7079 0.2921
Ag: 0.7079 0.2921 0.2921
Ag: 0.7079 0.7079 0.2921
Ag: 0.2921 0.7079 0.7079
In: 0.7500 0.7500 0.7500
In: 0.2500 0.2500 0.2500
Ca: 0.0000 0.0000 0.0000

Computed properties:
D(E_F) = 3.1 states/eV/cell
Magnetization = 0.00 μB per formula unit

*P* comes first in stability; the runner-up is 294 meV per atom higher.

*P*
Ca3In3Ag2: optimized geometry, PBE.

Unit cell a=4.8330 b=6.0893 c=15.9482 alpha=90.00 beta=90.00 gamma=113.38
Sites, in units of the cell vectors:
In: 0.6207 0.2414 0.0407
In: 0.3560 0.7120 0.2500
In: 0.3793 0.7586 0.5407
In: 0.6207 0.2414 0.4593
In: 0.3793 0.7586 0.9593
In: 0.6440 0.2880 0.7500
Ag: 0.2109 0.4218 0.1045
Ag: 0.7891 0.5782 0.8955
Ag: 0.7891 0.5782 0.6045
Ag: 0.2109 0.4218 0.3955
Ca: 0.9189 0.8377 0.3909
Ca: 0.9189 0.8377 0.1091
Ca: 0.0811 0.1623 0.8909
Ca: 0.3540 0.7081 0.7500
Ca: 0.0811 0.1623 0.6091
Ca: 0.6460 0.2919 0.2500

Computed properties:
D(E_F) = 9.7 states/eV/cell
Magnetization = 0.00 μB per formula unit

*Q*
Ca3In3Ag2: optimized geometry, PBE.

Unit cell a=6.0765 b=8.2576 c=17.2218 alpha=90.00 beta=90.00 gamma=90.00
Sites, in units of the cell vectors:
In: 0.3984 0.6834 0.9659
In: 0.6524 0.3213 0.7500
In: 0.6016 0.3166 0.4659
In: 0.3984 0.6834 0.5341
In: 0.3476 0.6787 0.2500
In: 0.8984 0.8166 0.0341
In: 0.8984 0.8166 0.4659
In: 0.8476 0.8213 0.7500
In: 0.1016 0.1834 0.9659
In: 0.1016 0.1834 0.5341
In: 0.1524 0.1787 0.2500
In: 0.6016 0.3166 0.0341
Ca: 0.1403 0.1683 0.7500
Ca: 0.8597 0.8317 0.2500
Ca: 0.3597 0.6683 0.7500
Ca: 0.8814 0.5338 0.8911
Ca: 0.6403 0.3317 0.2500
Ca: 0.1186 0.4662 0.1089
Ca: 0.3814 0.9662 0.1089
Ca: 0.8814 0.5338 0.6089
Ca: 0.6186 0.0338 0.8911
Ca: 0.6186 0.0338 0.6089
Ca: 0.3814 0.9662 0.3911
Ca: 0.1186 0.4662 0.3911
Ag: 0.3897 0.3883 0.8823
Ag: 0.8897 0.1117 0.1177
Ag: 0.3897 0.3883 0.6177
Ag: 0.1103 0.8883 0.8823
Ag: 0.1103 0.8883 0.6177
Ag: 0.6103 0.6117 0.1177
Ag: 0.8897 0.1117 0.3823
Ag: 0.6103 0.6117 0.3823

Computed properties:
D(E_F) = 22.8 states/eV/cell
Magnetization = 0.00 μB per formula unit

*P* comes first in stability; the runner-up is 22 meV per atom higher.

*P*
CaIn3Ag2: optimized geometry, PBE.

Unit cell a=4.5620 b=8.7900 c=8.7898 alpha=60.17 beta=74.96 gamma=74.96
Sites, in units of the cell vectors:
In: 0.6740 0.1236 0.5284
In: 0.3260 0.8764 0.4716
In: 0.0001 0.6608 0.3390
In: 0.3259 0.4717 0.8765
In: 0.6741 0.5283 0.1235
In: 0.9999 0.3392 0.6610
Ca: 0.8724 0.1275 0.1277
Ca: 0.1276 0.8725 0.8723
Ag: 0.5000 0.8442 0.1558
Ag: 0.5000 0.1558 0.8442
Ag: 0.7985 0.7016 0.7015
Ag: 0.2015 0.2984 0.2985

Computed properties:
D(E_F) = 4.7 states/eV/cell
Magnetization = 0.00 μB per formula unit

*Q*
CaIn3Ag2: optimized geometry, PBE.

Unit cell a=6.5428 b=6.5428 c=8.5720 alpha=67.56 beta=67.56 gamma=60.00
Sites, in units of the cell vectors:
Ca: 0.2159 0.2159 0.3523
Ca: 0.7841 0.7841 0.6477
Ag: 0.0000 0.5000 0.0000
Ag: 0.5000 0.0000 0.0000
Ag: 0.0000 0.0000 0.0000
Ag: 0.5000 0.5000 0.0000
In: 0.2703 0.2703 0.7001
In: 0.7592 0.2703 0.7001
In: 0.2408 0.7297 0.2999
In: 0.2703 0.7592 0.7001
In: 0.7297 0.7297 0.2999
In: 0.7297 0.2408 0.2999

Computed properties:
D(E_F) = 4.9 states/eV/cell
Magnetization = 0.00 μB per formula unit

*P* comes first in stability; the runner-up is 60 meV per atom higher.

*P*
Ca3In2Ag: optimized geometry, PBE.

Unit cell a=3.8517 b=5.3492 c=8.4652 alpha=108.42 beta=90.00 gamma=90.00
Sites, in units of the cell vectors:
Ca: 0.5000 0.5000 0.0000
Ca: 0.5000 0.8416 0.6831
Ca: 0.5000 0.1584 0.3169
In: 0.0000 0.6738 0.3476
In: 0.0000 0.3262 0.6524
Ag: 0.0000 0.0000 0.0000

Computed properties:
D(E_F) = 3.2 states/eV/cell
Magnetization = 0.00 μB per formula unit

*Q*
Ca3In2Ag: optimized geometry, PBE.

Unit cell a=3.8400 b=3.8400 c=11.2836 alpha=90.00 beta=90.00 gamma=90.00
Sites, in units of the cell vectors:
Ca: 0.0000 0.0000 0.0000
Ca: 0.0000 0.0000 0.3400
Ca: 0.0000 0.0000 0.6600
In: 0.5000 0.5000 0.8331
In: 0.5000 0.5000 0.1669
Ag: 0.5000 0.5000 0.5000

Computed properties:
D(E_F) = 5.4 states/eV/cell
Magnetization = 0.00 μB per formula unit

*P* comes first in stability; the runner-up is 12 meV per atom higher.

*P*
CaTmInAg: optimized geometry, PBE.

Unit cell a=3.6910 b=3.6910 c=7.5761 alpha=90.00 beta=90.00 gamma=90.00
Sites, in units of the cell vectors:
In: 0.5000 0.5000 0.1234
Tm: 0.0000 0.0000 0.3744
Ag: 0.5000 0.5000 0.5836
Ca: 0.0000 0.0000 0.8466

Computed properties:
D(E_F) = 2.0 states/eV/cell
Magnetization = 0.00 μB per formula unit

*Q*
CaTmInAg: optimized geometry, PBE.

Unit cell a=5.2471 b=5.2471 c=5.2471 alpha=60.00 beta=60.00 gamma=60.00
Sites, in units of the cell vectors:
Ag: 0.2500 0.2500 0.2500
Ca: 0.5000 0.5000 0.5000
Tm: 0.0000 0.0000 0.0000
In: 0.7500 0.7500 0.7500

Computed properties:
D(E_F) = 3.4 states/eV/cell
Magnetization = 0.00 μB per formula unit

*P* comes first in stability; the runner-up is 25 meV per atom higher.

*P*
CaAgIr2: optimized geometry, PBE.

Unit cell a=5.9054 b=5.9054 c=5.9054 alpha=151.41 beta=131.18 gamma=57.55
Sites, in units of the cell vectors:
Ir: 0.7642 0.2642 0.5000
Ir: 0.9682 0.9682 0.0000
Ag: 0.5261 0.5261 0.0000
Ca: 0.2415 0.7415 0.5000

Computed properties:
D(E_F) = 4.3 states/eV/cell
Magnetization = 0.00 μB per formula unit

*Q*
CaAgIr2: optimized geometry, PBE.

Unit cell a=2.8785 b=2.8785 c=8.6121 alpha=90.00 beta=90.00 gamma=90.00
Sites, in units of the cell vectors:
Ca: 0.5000 0.5000 0.7671
Ag: 0.0000 0.0000 0.4747
Ir: 0.5000 0.5000 0.2287
Ir: 0.0000 0.0000 0.0295

Computed properties:
D(E_F) = 3.1 states/eV/cell
Magnetization = 0.00 μB per formula unit

*R*
CaAgIr2: optimized geometry, PBE.

Unit cell a=4.6443 b=4.6443 c=4.6443 alpha=60.00 beta=60.00 gamma=60.00
Sites, in units of the cell vectors:
Ca: 0.0000 0.0000 0.0000
Ir: 0.2500 0.2500 0.2500
Ir: 0.7500 0.7500 0.7500
Ag: 0.5000 0.5000 0.5000

Computed properties:
D(E_F) = 3.9 states/eV/cell
Magnetization = 0.00 μB per formula unit

*Q* comes first in stability; the runner-up is 7 meV per atom higher.

*P*
CaAgIr2: optimized geometry, PBE.

Unit cell a=2.7318 b=4.4725 c=5.8364 alpha=90.00 beta=90.00 gamma=90.00
Sites, in units of the cell vectors:
Ir: 0.0000 0.0000 0.4736
Ir: 0.0000 0.0000 0.0264
Ag: 0.5000 0.5000 0.2500
Ca: 0.5000 0.5000 0.7500

Computed properties:
D(E_F) = 4.6 states/eV/cell
Magnetization = 0.00 μB per formula unit

*Q*
CaAgIr2: optimized geometry, PBE.

Unit cell a=4.3425 b=4.3425 c=10.1749 alpha=77.68 beta=77.68 gamma=90.00
Sites, in units of the cell vectors:
Ca: 0.2500 0.7500 0.5000
Ca: 0.5000 0.5000 0.0000
Ir: 0.8750 0.0115 0.7500
Ir: 0.7615 0.1250 0.2500
Ir: 0.3750 0.2385 0.7500
Ir: 0.9885 0.6250 0.2500
Ag: 0.0000 0.0000 0.0000
Ag: 0.7500 0.2500 0.5000

Computed properties:
D(E_F) = 7.7 states/eV/cell
Magnetization = 0.00 μB per formula unit

*P* comes first in stability; the runner-up is 68 meV per atom higher.